La3Sm3Th2: optimized geometry, GGA-PBE.

Cell: 5.100 5.131 21.098 Å, 90.00 90.00 90.00°
Space group Immm (No. 71)
One atom of each set of equivalent atoms:
La 0.000 0.000 0.000 x2
La 0.000 0.500 0.131 x4
Sm 0.000 0.000 0.500 x2
Sm 0.000 0.500 0.369 x4
Th 0.000 0.000 0.250 x4

Properties
ΔE to the lowest computed polymorph: 0.0 meV/atom
calculated formation energy: 0.04 eV/atom